Below is a relaxed structure of Pm3Tm4Pu, with properties calculated at the PBE level.

The structure in POSCAR format:
```
Pm3Tm4Pu
1.0
3.315 0.000 -0.802
-1.189 10.393 -4.911
0.292 -2.394 8.457
Pm Tm Pu
3 4 1
direct
0.763 0.763 0.527
0.237 0.237 0.473
0.000 0.500 0.000
0.633 0.380 0.265
0.367 0.620 0.735
0.367 0.115 0.735
0.633 0.885 0.265
0.500 0.000 0.000
```

energy of formation from the pure elements	0.16	eV per atom
total energy	-45.2	eV per formula unit
space group	Immm
magnetization	6.28	μB per cell